## La3PmHo4 (PBE-GGA)

Data for La3PmHo4 after structural relaxation.

POSCAR file:
```
La3PmHo4
1.0
11.6486 0.0000 0.0000
0.0000 7.3337 0.0000
0.0000 0.0000 6.3490
La Pm Ho
6 2 8
Direct
0.0000 0.1279 0.0000
0.2497 0.1257 0.3307
0.2503 0.8743 0.8307
0.5000 0.8721 0.5000
0.7503 0.1257 0.3307
0.7497 0.8743 0.8307
0.0000 0.8689 0.4993
0.5000 0.1311 0.9993
0.0000 0.3798 0.4994
0.0000 0.6211 0.0010
0.2492 0.6198 0.3315
0.2508 0.3802 0.8315
0.5000 0.3789 0.5010
0.5000 0.6202 0.9994
0.7492 0.3802 0.8315
0.7508 0.6198 0.3315
```

* crystal system: orthorhombic
* ΔE_f: 0.034 eV/atom
* calculated total energy: -75.15 eV per cell
* distance to the lowest polymorph of the same formula: 0.000 eV per atom



## Pm2IrRh (PBE-GGA)

Data for Pm2IrRh after structural relaxation.

POSCAR file:
```
Pm2IrRh
1.0
0.0000 3.5194 3.5194
3.5194 0.0000 3.5194
3.5194 3.5194 0.0000
Pm Ir Rh
2 1 1
Direct
0.2500 0.2500 0.2500
0.7500 0.7500 0.7500
0.0000 0.0000 0.0000
0.5000 0.5000 0.5000
```

* crystal system: cubic
* ΔE_f: -0.670 eV/atom
* calculated total energy: -28.39 eV per cell
* distance to the lowest polymorph of the same formula: 0.016 eV per atom



## La5Cd2C (PBE-GGA)

Data for La5Cd2C after structural relaxation.

POSCAR file:
```
La5Cd2C
1.0
9.1879 0.0000 0.0000
0.0000 7.4040 0.0000
0.0000 0.0000 14.2011
La Cd C
20 8 4
Direct
0.0000 0.0000 0.0000
0.0000 0.5000 0.0000
0.0252 0.2500 0.2121
0.1675 0.0063 0.6380
0.1675 0.4937 0.6380
0.1856 0.7500 0.4155
0.3144 0.2500 0.9155
0.3325 0.5063 0.1380
0.3325 0.9937 0.1380
0.4748 0.7500 0.7121
0.5000 0.0000 0.5000
0.5000 0.5000 0.5000
0.5252 0.2500 0.2879
0.6675 0.0063 0.8620
0.6675 0.4937 0.8620
0.6856 0.7500 0.0845
0.8144 0.2500 0.5845
0.8325 0.5063 0.3620
0.8325 0.9937 0.3620
0.9748 0.7500 0.7879
0.0267 0.7500 0.1939
0.1742 0.2500 0.4298
0.3258 0.7500 0.9298
0.4733 0.2500 0.6939
0.5267 0.7500 0.3061
0.6742 0.2500 0.0702
0.8258 0.7500 0.5702
0.9733 0.2500 0.8061
0.1824 0.2500 0.0710
0.3176 0.7500 0.5710
0.6824 0.2500 0.4290
0.8176 0.7500 0.9290
```

* crystal system: orthorhombic
* ΔE_f: -0.163 eV/atom
* calculated total energy: -147.97 eV per cell



## Pr5InAu2 (PBE-GGA)

Data for Pr5InAu2 after structural relaxation.

POSCAR file:
```
Pr5InAu2
1.0
-4.2178 4.2178 6.7803
4.2178 -4.2178 6.7803
4.2178 4.2178 -6.7803
Pr In Au
10 2 4
Direct
0.0000 0.0000 0.0000
0.0115 0.5115 0.8127
0.1987 0.0115 0.5000
0.3013 0.8013 0.8127
0.4885 0.3013 0.5000
0.5000 0.5000 0.0000
0.5115 0.6987 0.5000
0.6987 0.1987 0.1873
0.8013 0.9885 0.5000
0.9885 0.4885 0.1873
0.2500 0.2500 0.0000
0.7500 0.7500 0.0000
0.1340 0.3660 0.5000
0.3660 0.8660 0.2320
0.6340 0.1340 0.7680
0.8660 0.6340 0.5000
```

* crystal system: tetragonal
* ΔE_f: -0.509 eV/atom
* calculated total energy: -74.53 eV per cell



## NdTh3 (PBE-GGA)

Data for NdTh3 after structural relaxation.

POSCAR file:
```
NdTh3
1.0
-1.7868 5.9553 3.1163
1.7868 -5.9553 3.1163
1.7868 5.9553 -3.1163
Nd Th
1 3
Direct
0.0000 0.0000 0.0000
0.4250 0.6744 0.7506
0.5055 0.0055 0.5000
0.9237 0.6744 0.2494
```

* crystal system: orthorhombic
* ΔE_f: 0.074 eV/atom
* calculated total energy: -26.73 eV per cell
* distance to the lowest polymorph of the same formula: 0.007 eV per atom



## Sr3Ni6Sb5 (PBE-GGA)

Data for Sr3Ni6Sb5 after structural relaxation.

POSCAR file:
```
Sr3Ni6Sb5
1.0
4.3146 0.0000 0.0000
0.0000 12.8853 0.0000
0.0000 0.0000 10.6161
Sr Ni Sb
6 12 10
Direct
0.2500 0.0888 0.2448
0.2500 0.4112 0.2448
0.2500 0.7500 0.2536
0.7500 0.2500 0.7464
0.7500 0.5888 0.7552
0.7500 0.9112 0.7552
0.2500 0.0706 0.8827
0.2500 0.2500 0.5124
0.2500 0.2500 0.9861
0.2500 0.4294 0.8827
0.2500 0.5770 0.4927
0.2500 0.9230 0.4927
0.7500 0.0770 0.5073
0.7500 0.4230 0.5073
0.7500 0.5706 0.1173
0.7500 0.7500 0.0139
0.7500 0.7500 0.4876
0.7500 0.9294 0.1173
0.2500 0.0799 0.6365
0.2500 0.4201 0.6365
0.2500 0.6152 0.9942
0.2500 0.7500 0.6105
0.2500 0.8848 0.9942
0.7500 0.1152 0.0058
0.7500 0.2500 0.3895
0.7500 0.3848 0.0058
0.7500 0.5799 0.3635
0.7500 0.9201 0.3635
```

* crystal system: orthorhombic
* formation energy without anion corrections: -500 meV/atom
* calculated total energy: -134.69 eV per cell